The following is a DFT calculation (GGA-PBE) of crystalline YZr2Rh at its relaxed geometry.

```
4
Lattice="0.000 3.463 3.463 3.463 0.000 3.463 3.463 3.463 0.000" Properties=species:S:1:pos:R:3 pbc="T T T"
Y 0.000 0.000 0.000
Zr 1.732 1.732 1.732
Zr 5.195 5.195 5.195
Rh 3.463 3.463 3.463
```

Polymorph energy (0 for the lowest one)   301 meV/atom



The following is a DFT calculation (GGA-PBE) of crystalline YZrRh at its relaxed geometry.

```
3
Lattice="-1.709 1.709 5.655 1.709 -1.709 5.655 1.709 1.709 -5.655" Properties=species:S:1:pos:R:3 pbc="T T T"
Y 0.000 0.000 0.000
Zr 0.000 0.000 8.022
Rh 0.000 0.000 3.749
```

Polymorph energy (0 for the lowest one)   131 meV/atom



The following is a DFT calculation (GGA-PBE) of crystalline YZr2Rh at its relaxed geometry.

```
4
Lattice="-2.214 2.214 4.422 2.214 -2.214 4.422 2.214 2.214 -4.422" Properties=species:S:1:pos:R:3 pbc="T T T"
Y 0.000 0.000 0.000
Zr 2.214 0.000 2.211
Zr 0.000 0.000 4.422
Rh 0.000 2.214 2.211
```

Polymorph energy (0 for the lowest one)   349 meV/atom



The following is a DFT calculation (GGA-PBE) of crystalline YZr2Rh at its relaxed geometry.

```
4
Lattice="1.679 0.970 9.367 -1.679 0.970 9.367 0.000 -1.939 9.367" Properties=species:S:1:pos:R:3 pbc="T T T"
Y 0.000 0.000 0.000
Zr 0.000 0.000 14.728
Zr 0.000 0.000 21.558
Rh 0.000 0.000 7.219
```

Polymorph energy (0 for the lowest one)   191 meV/atom



The following is a DFT calculation (GGA-PBE) of crystalline YZr4Rh5 at its relaxed geometry.

```
10
Lattice="3.325 0.000 0.000 0.000 3.325 0.000 0.000 0.000 16.723" Properties=species:S:1:pos:R:3 pbc="T T T"
Y 0.000 0.000 0.000
Zr 0.000 0.000 3.438
Zr 0.000 0.000 6.733
Zr 0.000 0.000 9.990
Zr 0.000 0.000 13.285
Rh 1.662 1.662 1.932
Rh 1.662 1.662 5.108
Rh 1.662 1.662 8.361
Rh 1.662 1.662 11.614
Rh 1.662 1.662 14.790
```



The following is a DFT calculation (GGA-PBE) of crystalline Yb4Rh at its relaxed geometry.

```
10
Lattice="0.000 5.538 5.538 5.538 0.000 5.538 5.538 5.538 0.000" Properties=species:S:1:pos:R:3 pbc="T T T"
Yb 8.422 5.423 5.423
Yb 2.654 2.654 2.654
Yb 5.653 5.653 2.654
Yb 5.653 2.654 5.653
Yb 5.423 8.422 5.423
Yb 5.423 5.423 8.422
Yb 8.422 8.422 8.422
Yb 2.654 5.653 5.653
Rh 4.153 4.153 4.153
Rh 6.922 6.922 6.922
```



The following is a DFT calculation (GGA-PBE) of crystalline ZnRh at its relaxed geometry.

```
4
Lattice="2.761 0.000 0.000 -1.381 2.392 0.000 0.000 0.000 8.654" Properties=species:S:1:pos:R:3 pbc="T T T"
Zn 0.000 1.594 3.199
Zn 1.381 0.797 5.455
Rh 0.000 1.594 7.549
Rh 1.381 0.797 1.104
```



The following is a DFT calculation (GGA-PBE) of crystalline ZnRh2 at its relaxed geometry.

```
12
Lattice="5.847 0.000 0.000 0.000 5.847 0.000 0.000 0.000 5.847" Properties=species:S:1:pos:R:3 pbc="T T T"
Zn 0.000 0.000 0.000
Zn 0.000 2.923 2.923
Zn 2.923 0.000 2.923
Zn 2.923 2.923 0.000
Rh 0.717 3.641 5.129
Rh 0.717 5.129 2.206
Rh 2.206 0.717 5.129
Rh 2.206 2.206 2.206
Rh 3.641 3.641 3.641
Rh 3.641 5.129 0.717
Rh 5.129 0.717 3.641
Rh 5.129 2.206 0.717
```



| no. | magnetization (μB per formula unit) | final energy (hartree per atom) |
| --- | --- | --- |
| 1 | 0.00 | -0.287 |
| 2 | 0.54 | -0.291 |
| 3 | 0.00 | -0.285 |
| 4 | 0.00 | -0.291 |
| 5 | 0.00 | -0.313 |
| 6 | 0.92 | -0.100 |
| 7 | 0.00 | -0.163 |
| 8 | 1.44 | -0.175 |